[1]
{
  "formula": "Hg5Sb",
  "functional": "PBE-GGA",
  "state": "optimized geometry",
  "lattice": [[3.0587, 0.0000, 0.0000], [0.0000, 3.0587, 0.0000], [0.0000, 0.0000, 18.1696]],
  "species": ["Hg", "Hg", "Hg", "Hg", "Hg", "Sb"],
  "fractional_positions": [[0.0000, 0.0000, 0.0000], [0.0000, 0.0000, 0.3282], [0.0000, 0.0000, 0.6718], [0.5000, 0.5000, 0.1632], [0.5000, 0.5000, 0.8368], [0.5000, 0.5000, 0.5000]],
  "total_energy_ev_per_atom": -0.858,
  "raw_formation_energy_ev_per_atom": 0.081
}



[2]
{
  "formula": "BaGa2Pb2",
  "functional": "PBE-GGA",
  "state": "optimized geometry",
  "lattice": [[8.9670, 0.0000, 0.0000], [0.0000, 8.9670, 0.0000], [0.0000, 0.0000, 3.6816]],
  "species": ["Ba", "Ba", "Ga", "Ga", "Ga", "Ga", "Pb", "Pb", "Pb", "Pb"],
  "fractional_positions": [[0.0000, 0.0000, 0.0000], [0.5000, 0.5000, 0.0000], [0.1579, 0.3421, 0.5000], [0.3421, 0.8421, 0.5000], [0.6579, 0.1579, 0.5000], [0.8421, 0.6579, 0.5000], [0.1293, 0.6293, 0.0000], [0.3707, 0.1293, 0.0000], [0.6293, 0.8707, 0.0000], [0.8707, 0.3707, 0.0000]],
  "total_energy_ev_per_atom": -3.202,
  "formation_enthalpy_0k_ev_per_atom": -0.1230
}



[3]
{
  "formula": "CdGeSe2",
  "functional": "PBE-GGA",
  "state": "optimized geometry",
  "lattice": [[2.1506, 1.2417, 7.7228], [-2.1506, 1.2417, 7.7228], [0.0000, -2.4833, 7.7228]],
  "species": ["Cd", "Ge", "Se", "Se"],
  "fractional_positions": [[0.0000, 0.0000, 0.0000], [0.5000, 0.5000, 0.5000], [0.1066, 0.1066, 0.1066], [0.8934, 0.8934, 0.8934]],
  "total_energy_ev_per_atom": -3.231,
  "raw_formation_energy_ev_per_atom": -0.106
}



[4]
{
  "formula": "Pm2Ga5Rh5",
  "functional": "PBE-GGA",
  "state": "optimized geometry",
  "lattice": [[4.1849, 0.0000, 0.0000], [0.0000, 5.4384, 0.0000], [0.0000, 0.0000, 9.3430]],
  "species": ["Pm", "Pm", "Ga", "Ga", "Ga", "Ga", "Ga", "Rh", "Rh", "Rh", "Rh", "Rh"],
  "fractional_positions": [[0.0000, 0.0000, 0.0000], [0.0000, 0.5000, 0.5000], [0.5000, 0.0000, 0.5000], [0.5000, 0.2488, 0.2386], [0.5000, 0.2488, 0.7614], [0.5000, 0.7512, 0.2386], [0.5000, 0.7512, 0.7614], [0.0000, 0.0000, 0.3327], [0.0000, 0.0000, 0.6673], [0.0000, 0.5000, 0.1915], [0.0000, 0.5000, 0.8085], [0.5000, 0.5000, 0.0000]],
  "total_energy_ev_per_atom": -5.813,
  "formation_enthalpy_0k_ev_per_atom": -0.6966
}